(1)
Na3CaB2O6 | GGA-PBE | relaxed

The structure in CIF format:
```
data_Na3CaB2O6
_symmetry_space_group_name_H-M 'P -3 m 1'
_symmetry_Int_Tables_number 164
_symmetry_space_group_name_Hall '-P 3 2"'
_cell_length_a 5.3890
_cell_length_b 5.3890
_cell_length_c 6.3600
_cell_angle_alpha 90.00
_cell_angle_beta 90.00
_cell_angle_gamma 120.00
loop_
_atom_site_label
_atom_site_type_symbol
_atom_site_fract_x
_atom_site_fract_y
_atom_site_fract_z
Na1 Na 0.0000 0.0000 0.0000
Na2 Na 0.3333 0.6667 0.7833
Ca1 Ca 0.0000 0.0000 0.5000
B1 B 0.3333 0.6667 0.2575
O1 O 0.1859 0.3718 0.2550
```

final energy	-6.278	eV per atom
Fermi-level density of states	4.5	states/eV per cell
magnetization	1.02	Bohr magnetons per cell

(2)
PaAl2Au4 | GGA-PBE | relaxed

The structure in CIF format:
```
data_PaAl2Au4
_symmetry_space_group_name_H-M 'P n m a'
_symmetry_Int_Tables_number 62
_symmetry_space_group_name_Hall '-P 2ac 2n'
_cell_length_a 17.649
_cell_length_b 4.489
_cell_length_c 6.772
_cell_angle_alpha 90.00
_cell_angle_beta 90.00
_cell_angle_gamma 90.00
loop_
_atom_site_label
_atom_site_type_symbol
_atom_site_fract_x
_atom_site_fract_y
_atom_site_fract_z
Pa1 Pa 0.137 0.250 0.005
Al1 Al 0.038 0.750 0.241
Al2 Al 0.217 0.250 0.520
Au1 Au 0.037 0.750 0.825
Au2 Au 0.072 0.250 0.494
Au3 Au 0.183 0.750 0.302
Au4 Au 0.195 0.750 0.725
```

Fermi-level density of states	19.1	states/eV per cell
formation enthalpy at 0 K	-0.4234	eV/atom
magnetization	0.00	Bohr magnetons per cell

(3)
RbZnCl3 | GGA-PBE | relaxed

The structure in CIF format:
```
data_RbZnCl3
_symmetry_space_group_name_H-M 'P 1 21/m 1'
_symmetry_Int_Tables_number 11
_symmetry_space_group_name_Hall '-P 2yb'
_cell_length_a 4.683
_cell_length_b 7.837
_cell_length_c 9.935
_cell_angle_alpha 90.00
_cell_angle_beta 93.30
_cell_angle_gamma 90.00
loop_
_atom_site_label
_atom_site_type_symbol
_atom_site_fract_x
_atom_site_fract_y
_atom_site_fract_z
Rb1 Rb 0.234 0.250 0.195
Zn1 Zn 0.382 0.250 0.759
Cl1 Cl 0.252 0.003 0.674
Cl2 Cl 0.303 0.750 0.063
```

final energy	-3.009	eV per atom
Fermi-level density of states	0.0	states/eV per cell
magnetization	0.00	Bohr magnetons per cell

(4)
LaNd2SmTe5 | GGA-PBE | relaxed

The structure in CIF format:
```
data_LaNd2SmTe5
_symmetry_space_group_name_H-M 'P 4/m m m'
_symmetry_Int_Tables_number 123
_symmetry_space_group_name_Hall '-P 4 2'
_cell_length_a 5.642
_cell_length_b 5.642
_cell_length_c 11.981
_cell_angle_alpha 90.00
_cell_angle_beta 90.00
_cell_angle_gamma 90.00
loop_
_atom_site_label
_atom_site_type_symbol
_atom_site_fract_x
_atom_site_fract_y
_atom_site_fract_z
La1 La 0.000 0.000 0.000
Nd1 Nd 0.500 0.500 0.349
Sm1 Sm 0.000 0.000 0.500
Te1 Te 0.000 0.000 0.249
Te2 Te 0.000 0.500 0.500
Te3 Te 0.500 0.500 0.000
```

final energy	-4.721	eV per atom
Fermi-level density of states	6.4	states/eV per cell
magnetization	0.64	Bohr magnetons per cell

(5)
Zn2InGaCl6 | GGA-PBE | relaxed

The structure in CIF format:
```
data_Zn2InGaCl6
_symmetry_space_group_name_H-M 'C 1 2/c 1'
_symmetry_Int_Tables_number 15
_symmetry_space_group_name_Hall '-C 2yc'
_cell_length_a 13.698
_cell_length_b 13.378
_cell_length_c 6.791
_cell_angle_alpha 90.00
_cell_angle_beta 98.53
_cell_angle_gamma 90.00
loop_
_atom_site_label
_atom_site_type_symbol
_atom_site_fract_x
_atom_site_fract_y
_atom_site_fract_z
Zn1 Zn 0.210 0.085 0.276
In1 In 0.000 0.396 0.250
Ga1 Ga 0.000 0.206 0.750
Cl1 Cl 0.123 0.398 0.688
Cl2 Cl 0.128 0.219 0.138
Cl3 Cl 0.159 0.059 0.589
```

final energy	-2.920	eV per atom
Fermi-level density of states	0.0	states/eV per cell
magnetization	0.00	Bohr magnetons per cell

(6)
LaY2Co | GGA-PBE | relaxed

The structure in CIF format:
```
data_LaY2Co
_symmetry_space_group_name_H-M 'R -3 m'
_symmetry_Int_Tables_number 166
_symmetry_space_group_name_Hall '-R 3 2"'
_cell_length_a 3.8196
_cell_length_b 3.8196
_cell_length_c 27.7599
_cell_angle_alpha 90.00
_cell_angle_beta 90.00
_cell_angle_gamma 120.00
loop_
_atom_site_label
_atom_site_type_symbol
_atom_site_fract_x
_atom_site_fract_y
_atom_site_fract_z
La1 La 0.0000 0.0000 0.0000
Y1 Y 0.0000 0.0000 0.2209
Co1 Co 0.0000 0.0000 0.5000
```

energy relative to the lowest polymorph listed for this composition	151	meV per atom
Fermi-level density of states	15.3	states/eV per cell
formation enthalpy at 0 K	0.0068	eV/atom
magnetization	0.02	Bohr magnetons per cell

(7)
CrSi2Ru | GGA-PBE | relaxed

The structure in CIF format:
```
data_CrSi2Ru
_symmetry_space_group_name_H-M 'P 4 m m'
_symmetry_Int_Tables_number 99
_symmetry_space_group_name_Hall 'P 4 -2'
_cell_length_a 3.057
_cell_length_b 3.057
_cell_length_c 5.412
_cell_angle_alpha 90.00
_cell_angle_beta 90.00
_cell_angle_gamma 90.00
loop_
_atom_site_label
_atom_site_type_symbol
_atom_site_fract_x
_atom_site_fract_y
_atom_site_fract_z
Cr1 Cr 0.000 0.000 0.000
Si1 Si 0.000 0.000 0.547
Si2 Si 0.500 0.500 0.814
Ru1 Ru 0.500 0.500 0.329
```

final energy	-7.766	eV per atom
Fermi-level density of states	3.1	states/eV per cell
magnetization	0.37	Bohr magnetons per cell

(8)
Nd4S2NO | GGA-PBE | relaxed

The structure in CIF format:
```
data_Nd4S2NO
_symmetry_space_group_name_H-M 'P 1 2/m 1'
_symmetry_Int_Tables_number 10
_symmetry_space_group_name_Hall '-P 2y'
_cell_length_a 6.558
_cell_length_b 3.783
_cell_length_c 6.841
_cell_angle_alpha 90.00
_cell_angle_beta 108.55
_cell_angle_gamma 90.00
loop_
_atom_site_label
_atom_site_type_symbol
_atom_site_fract_x
_atom_site_fract_y
_atom_site_fract_z
Nd1 Nd 0.232 0.000 0.210
Nd2 Nd 0.257 0.500 0.789
S1 S 0.000 0.000 0.500
S2 S 0.500 0.500 0.500
N1 N 0.000 0.500 0.000
O1 O 0.500 0.000 0.000
```

final energy	-7.107	eV per atom
Fermi-level density of states	2.7	states/eV per cell
magnetization	0.00	Bohr magnetons per cell